Record 1
Compound: CsAsPd2I
Source: the Alexandria database
Functional: PBE
Structure: relaxed

Computed properties:
Final energy   -14.89 eV for the cell shown
Space-group type   P4/mmm
E_form (uncorrected)   0.5104 eV/atom
DOS at the Fermi energy   5.2 states/eV/f.u.

Cell: 5.1473 5.1473 7.3672 Å, 90.00 90.00 90.00°
Sites, in units of the cell vectors:
Cs 0.0000 0.0000 0.0000
As 0.5000 0.5000 0.0000
Pd 0.0000 0.5000 0.5000
Pd 0.5000 0.0000 0.5000
I 0.0000 0.0000 0.5000

Record 2
Compound: Cs2AsPtI
Source: the Alexandria database
Functional: PBE
Structure: relaxed

Computed properties:
Final energy   -17.59 eV for the cell shown
Space-group type   P4/mmm
E_form (uncorrected)   -0.7289 eV/atom
DOS at the Fermi energy   2.6 states/eV/f.u.
Energy above the lowest structure with this stoichiometry   0.0 meV/atom

Cell: 7.0380 7.0380 4.5876 Å, 90.00 90.00 90.00°
Sites, in units of the cell vectors:
Cs 0.0000 0.5000 0.0000
Cs 0.5000 0.0000 0.0000
As 0.0000 0.0000 0.5000
Pt 0.0000 0.0000 0.0000
I 0.5000 0.5000 0.5000

Record 3
Compound: Cs2AsPtI
Source: the Alexandria database
Functional: PBE
Structure: relaxed

Computed properties:
Final energy   -11.97 eV for the cell shown
Space-group type   P4/mmm
E_form (uncorrected)   0.3947 eV/atom
DOS at the Fermi energy   11.0 states/eV/f.u.
Energy above the lowest structure with this stoichiometry   1123.5 meV/atom

Cell: 7.2268 7.2268 5.5623 Å, 90.00 90.00 90.00°
Sites, in units of the cell vectors:
Cs 0.0000 0.5000 0.0000
Cs 0.5000 0.0000 0.0000
As 0.0000 0.0000 0.5000
Pt 0.5000 0.5000 0.5000
I 0.0000 0.0000 0.0000

Record 4
Compound: Cs2RbAsI6
Source: the Alexandria database
Functional: PBE
Structure: relaxed

Computed properties:
Final energy   -26.21 eV for the cell shown
Space-group type   Fm-3m
E_form (uncorrected)   -0.9588 eV/atom
DOS at the Fermi energy   0.0 states/eV/f.u.
Energy above the lowest structure with this stoichiometry   23.9 meV/atom

Cell: 9.0067 9.0067 9.0067 Å, 60.00 60.00 60.00°
Sites, in units of the cell vectors:
Cs 0.2500 0.2500 0.2500
Cs 0.7500 0.7500 0.7500
Rb 0.0000 0.0000 0.0000
As 0.5000 0.5000 0.5000
I 0.2738 0.2738 0.7262
I 0.2738 0.7262 0.2738
I 0.2738 0.7262 0.7262
I 0.7262 0.2738 0.2738
I 0.7262 0.2738 0.7262
I 0.7262 0.7262 0.2738

- Which value of E_form (uncorrected) does entry 1 give?
  0.5104 eV/atom

- Among the records above, which one has the highest E_form (uncorrected)?
  CsAsPd2I

- What is the DOS at the Fermi energy in the second record?
  2.6 states/eV/f.u.

What did the first record say?
Compound: CsAsPd2I
Source: the Alexandria database
Functional: PBE
Structure: relaxed

Computed properties:
Final energy   -14.89 eV for the cell shown
Space-group type   P4/mmm
E_form (uncorrected)   0.5104 eV/atom
DOS at the Fermi energy   5.2 states/eV/f.u.

Cell: 5.1473 5.1473 7.3672 Å, 90.00 90.00 90.00°
Sites, in units of the cell vectors:
Cs 0.0000 0.0000 0.0000
As 0.5000 0.5000 0.0000
Pd 0.0000 0.5000 0.5000
Pd 0.5000 0.0000 0.5000
I 0.0000 0.0000 0.5000